Record 1
# LaCd12Au6 PBE-GGA optimized geometry
# Calculated density = 10.165 g/cm³
# E_tot = -2.0560 eV per atom
# Formation enthalpy at 0 K = -184 meV/atom
data_LaCd12Au6
_cell_length_a 7.942
_cell_length_b 7.942
_cell_length_c 7.942
_cell_angle_alpha 105.20
_cell_angle_beta 105.20
_cell_angle_gamma 105.20
_symmetry_space_group_name_H-M 'P 1'
_symmetry_Int_Tables_number 1
_symmetry_space_group_name_Hall 'P 1'
loop_
_atom_site_label
_atom_site_type_symbol
_atom_site_fract_x
_atom_site_fract_y
_atom_site_fract_z
La1 La 0.000 0.000 0.000
Cd1 Cd 0.113 0.500 0.887
Cd2 Cd 0.113 0.887 0.500
Cd3 Cd 0.145 0.395 0.395
Cd4 Cd 0.395 0.145 0.395
Cd5 Cd 0.395 0.395 0.145
Cd6 Cd 0.500 0.113 0.887
Cd7 Cd 0.500 0.887 0.113
Cd8 Cd 0.605 0.605 0.855
Cd9 Cd 0.605 0.855 0.605
Cd10 Cd 0.855 0.605 0.605
Cd11 Cd 0.887 0.113 0.500
Cd12 Cd 0.887 0.500 0.113
Au1 Au 0.279 0.279 0.709
Au2 Au 0.279 0.709 0.279
Au3 Au 0.291 0.721 0.721
Au4 Au 0.709 0.279 0.279
Au5 Au 0.721 0.291 0.721
Au6 Au 0.721 0.721 0.291



Record 2
# PtW3 PBE-GGA optimized geometry
# Calculated density = 19.380 g/cm³
# E_tot = -11.1472 eV per atom
# Formation enthalpy at 0 K = 78 meV/atom
data_PtW3
_cell_length_a 2.713
_cell_length_b 4.669
_cell_length_c 5.050
_cell_angle_alpha 90.00
_cell_angle_beta 90.00
_cell_angle_gamma 90.00
_symmetry_space_group_name_H-M 'P 1'
_symmetry_Int_Tables_number 1
_symmetry_space_group_name_Hall 'P 1'
loop_
_atom_site_label
_atom_site_type_symbol
_atom_site_fract_x
_atom_site_fract_y
_atom_site_fract_z
Pt1 Pt 0.000 0.000 0.000
W1 W 0.000 0.500 0.329
W2 W 0.500 0.000 0.513
W3 W 0.500 0.500 0.828



Record 3
# BaTiW2 PBE-GGA optimized geometry
# Calculated density = 7.971 g/cm³
# Distance to the lowest polymorph of the same formula = 32 meV/atom
# E_tot = -7.4473 eV per atom
# Formation enthalpy at 0 K = 1484 meV/atom
data_BaTiW2
_cell_length_a 9.784
_cell_length_b 9.784
_cell_length_c 9.784
_cell_angle_alpha 150.23
_cell_angle_beta 150.23
_cell_angle_gamma 42.60
_symmetry_space_group_name_H-M 'P 1'
_symmetry_Int_Tables_number 1
_symmetry_space_group_name_Hall 'P 1'
loop_
_atom_site_label
_atom_site_type_symbol
_atom_site_fract_x
_atom_site_fract_y
_atom_site_fract_z
Ba1 Ba 0.000 0.000 0.000
Ba2 Ba 0.750 0.250 0.500
Ti1 Ti 0.250 0.750 0.500
Ti2 Ti 0.500 0.500 0.000
W1 W 0.370 0.125 0.745
W2 W 0.375 0.630 0.755
W3 W 0.380 0.625 0.255
W4 W 0.875 0.620 0.245